Entry from Alexandria via LeMat-Bulk: an optimized crystal structure of Pm2Sm4Er7 (PBE).

Geometry as CIF:
```
data_Pm2Sm4Er7
_chemical_formula_sum 'Pm2 Sm4 Er7'
_cell_length_a 6.0684
_cell_length_b 6.0684
_cell_length_c 13.4254
_cell_angle_alpha 90.00
_cell_angle_beta 90.00
_cell_angle_gamma 120.00
_space_group_name_H-M_alt 'P 1'
_space_group_IT_number 1
loop_
_space_group_symop_operation_xyz
'x,y,z'
loop_
_atom_site_label
_atom_site_type_symbol
_atom_site_fract_x
_atom_site_fract_y
_atom_site_fract_z
Pm1 Pm 0.3333 0.6667 0.0000
Pm2 Pm 0.6667 0.3333 0.0000
Sm1 Sm 0.0000 0.0000 0.3933
Sm2 Sm 0.0000 0.0000 0.6067
Sm3 Sm 0.3333 0.6667 0.5000
Sm4 Sm 0.6667 0.3333 0.5000
Er1 Er 0.0000 0.0000 0.0000
Er2 Er 0.0000 0.3497 0.2130
Er3 Er 0.0000 0.6503 0.7870
Er4 Er 0.3497 0.0000 0.2130
Er5 Er 0.3497 0.3497 0.7870
Er6 Er 0.6503 0.0000 0.7870
Er7 Er 0.6503 0.6503 0.2130
```

Calculated values
**Energy**: -4.47 eV per atom
**Formation enthalpy at 0 K**: 0.17 eV per atom

Entry from Alexandria via LeMat-Bulk: an optimized crystal structure of PmSm5Er2 (PBE).

Geometry as CIF:
```
data_PmSm5Er2
_chemical_formula_sum 'Pm2 Sm10 Er4'
_cell_length_a 7.2021
_cell_length_b 14.4045
_cell_length_c 5.0817
_cell_angle_alpha 90.00
_cell_angle_beta 90.00
_cell_angle_gamma 90.00
_space_group_name_H-M_alt 'P 1'
_space_group_IT_number 1
loop_
_space_group_symop_operation_xyz
'x,y,z'
loop_
_atom_site_label
_atom_site_type_symbol
_atom_site_fract_x
_atom_site_fract_y
_atom_site_fract_z
Pm1 Pm 0.0000 0.0000 0.0000
Pm2 Pm 0.5000 0.5000 0.0000
Sm1 Sm 0.0005 0.2502 0.0000
Sm2 Sm 0.0000 0.5000 0.0000
Sm3 Sm 0.9995 0.7498 0.0000
Sm4 Sm 0.2505 0.1250 0.5000
Sm5 Sm 0.2495 0.6250 0.5000
Sm6 Sm 0.5000 0.0000 0.0000
Sm7 Sm 0.5005 0.2498 0.0000
Sm8 Sm 0.4995 0.7502 0.0000
Sm9 Sm 0.7505 0.3750 0.5000
Sm10 Sm 0.7495 0.8750 0.5000
Er1 Er 0.2502 0.3747 0.5000
Er2 Er 0.2498 0.8747 0.5000
Er3 Er 0.7502 0.1253 0.5000
Er4 Er 0.7498 0.6253 0.5000
```

Calculated values
**Energy**: -4.67 eV per atom
**Formation enthalpy at 0 K**: 0.02 eV per atom
**Offset from the most stable computed form**: 0.0 meV per atom

Entry from Alexandria via LeMat-Bulk: an optimized crystal structure of Pm8SmEr2 (PBE).

Geometry as CIF:
```
data_Pm8SmEr2
_chemical_formula_sum 'Pm8 Sm1 Er2'
_cell_length_a 10.2907
_cell_length_b 10.2907
_cell_length_c 5.6699
_cell_angle_alpha 93.17
_cell_angle_beta 93.17
_cell_angle_gamma 40.09
_space_group_name_H-M_alt 'P 1'
_space_group_IT_number 1
loop_
_space_group_symop_operation_xyz
'x,y,z'
loop_
_atom_site_label
_atom_site_type_symbol
_atom_site_fract_x
_atom_site_fract_y
_atom_site_fract_z
Pm1 Pm 0.0448 0.0448 0.2368
Pm2 Pm 0.0996 0.6347 0.2690
Pm3 Pm 0.3120 0.3120 0.7695
Pm4 Pm 0.3653 0.9004 0.7310
Pm5 Pm 0.6347 0.0996 0.2690
Pm6 Pm 0.6880 0.6880 0.2305
Pm7 Pm 0.9004 0.3653 0.7310
Pm8 Pm 0.9552 0.9552 0.7632
Sm1 Sm 0.5000 0.5000 0.0000
Er1 Er 0.2154 0.2154 0.2544
Er2 Er 0.7846 0.7846 0.7456
```

Calculated values
**Energy**: -4.56 eV per atom
**Formation enthalpy at 0 K**: 0.15 eV per atom
**Offset from the most stable computed form**: 133.9 meV per atom

Entry from Alexandria via LeMat-Bulk: an optimized crystal structure of PmSm6Er4 (PBE).

Geometry as CIF:
```
data_PmSm6Er4
_chemical_formula_sum 'Pm2 Sm12 Er8'
_cell_length_a 5.6345
_cell_length_b 5.6345
_cell_length_c 25.7657
_cell_angle_alpha 90.00
_cell_angle_beta 90.00
_cell_angle_gamma 117.92
_space_group_name_H-M_alt 'P 1'
_space_group_IT_number 1
loop_
_space_group_symop_operation_xyz
'x,y,z'
loop_
_atom_site_label
_atom_site_type_symbol
_atom_site_fract_x
_atom_site_fract_y
_atom_site_fract_z
Pm1 Pm 0.2093 0.7907 0.7500
Pm2 Pm 0.7907 0.2093 0.2500
Sm1 Sm 0.1248 0.8752 0.1810
Sm2 Sm 0.1248 0.8752 0.3190
Sm3 Sm 0.1997 0.8003 0.6002
Sm4 Sm 0.1997 0.8003 0.8998
Sm5 Sm 0.4533 0.5467 0.2500
Sm6 Sm 0.5000 0.5000 0.0000
Sm7 Sm 0.5000 0.5000 0.5000
Sm8 Sm 0.5467 0.4533 0.7500
Sm9 Sm 0.8003 0.1997 0.1002
Sm10 Sm 0.8003 0.1997 0.3998
Sm11 Sm 0.8752 0.1248 0.6810
Sm12 Sm 0.8752 0.1248 0.8190
Er1 Er 0.1509 0.8491 0.0434
Er2 Er 0.1509 0.8491 0.4566
Er3 Er 0.4581 0.5419 0.1230
Er4 Er 0.4581 0.5419 0.3770
Er5 Er 0.5419 0.4581 0.6230
Er6 Er 0.5419 0.4581 0.8770
Er7 Er 0.8491 0.1509 0.5434
Er8 Er 0.8491 0.1509 0.9566
```

Calculated values
**Energy**: -4.55 eV per atom
**Formation enthalpy at 0 K**: 0.12 eV per atom
**Offset from the most stable computed form**: 0.0 meV per atom